Density functional theory data (PBE) for Co3CuPd2Se8 after structural relaxation.

N(E_F) = 8.37 states/eV/cell
Raw formation energy = -7.08 kcal/mol of atoms
Mass density = 6.8 g/cm3
Total moment = 0.00 μB per formula unit

Lattice parameters (Å, degrees): 7.132 7.132 7.313 60.82 60.82 60.00
Atoms (fractional coordinates):
Se1 0.708 0.255 0.783
Se2 0.746 0.285 0.223
Se3 0.746 0.746 0.223
Se4 0.265 0.265 0.205
Se5 0.255 0.708 0.783
Se6 0.737 0.737 0.790
Se7 0.255 0.255 0.783
Se8 0.285 0.746 0.223
Cu1 0.871 0.871 0.386
Co1 0.999 0.500 0.002
Co2 0.500 0.999 0.002
Co3 0.500 0.500 0.002
Pd1 0.500 0.500 0.501
Pd2 0.128 0.128 0.617